[1]
A plane-wave DFT calculation with PBE-GGA was carried out for an optimized crystal structure of Hg2TeI.

Structure (POSCAR):
```
Hg2TeI
1.0
11.503 0.000 0.000
0.000 7.534 0.000
0.000 0.000 7.430
Te I Hg
4 4 8
Direct
0.952 0.500 0.006 Te
0.952 0.000 0.494 Te
0.452 0.500 0.994 Te
0.452 0.000 0.506 Te
0.712 0.500 0.550 I
0.212 0.500 0.450 I
0.712 0.000 0.950 I
0.212 0.000 0.050 I
0.389 0.750 0.250 Hg
0.889 0.250 0.750 Hg
0.389 0.250 0.250 Hg
0.700 0.500 0.094 Hg
0.200 0.500 0.906 Hg
0.889 0.750 0.750 Hg
0.700 0.000 0.406 Hg
0.200 0.000 0.594 Hg
```

Crystal system   orthorhombic
Space-group type   Ima2

---

[2]
A plane-wave DFT calculation with PBE-GGA was carried out for an optimized crystal structure of TePd12.

Structure (POSCAR):
```
TePd12
1.0
6.137 0.000 -2.170
-3.068 5.315 -2.170
0.000 0.000 6.509
Pd Te
12 1
Direct
0.502 0.816 0.686 Pd
0.498 0.184 0.314 Pd
0.816 0.686 0.502 Pd
0.869 0.184 0.686 Pd
0.184 0.686 0.869 Pd
0.314 0.498 0.184 Pd
0.686 0.502 0.816 Pd
0.816 0.314 0.131 Pd
0.184 0.314 0.498 Pd
0.686 0.869 0.184 Pd
0.131 0.816 0.314 Pd
0.314 0.131 0.816 Pd
0.000 0.000 0.000 Te
```

Crystal system   cubic
Space-group type   Im-3

---

[3]
A plane-wave DFT calculation with PBE-GGA was carried out for an optimized crystal structure of YPSe.

Structure (POSCAR):
```
YPSe
1.0
1.650 -4.365 -0.939
2.718 -2.254 3.192
-1.723 -3.755 2.364
Y P Se
1 1 1
Direct
0.250 0.250 0.250 Y
0.000 0.000 0.000 P
0.500 0.500 0.500 Se
```

Crystal system   cubic
Space-group type   F-43m

---

Looking at density for the records above, in order, we have 6.764 10.987 4.330 g cm⁻³.
Looking at formation energy (no corrections) for the records above, in order, we have -167 29 -711 meV per atom.
Looking at total magnetization for the records above, in order, we have 0.00 0.00 0.00 μB/cell.